[1]
{
  "formula": "BeGaSbOs",
  "functional": "GGA-PBE",
  "state": "relaxed",
  "total_magnetization_mub_per_fu": 0.0,
  "lattice": [[-3.226, -2.999, -0.768], [-4.293, 1.226, 0.230], [-2.453, 0.261, -3.728]],
  "species": ["Sb", "Be", "Os", "Ga"],
  "fractional_positions": [[0.500, 0.500, 0.500], [0.750, 0.750, 0.750], [0.000, 0.000, 0.000], [0.250, 0.250, 0.250]]
}

[2]
{
  "formula": "BeGaPd2",
  "functional": "GGA-PBE",
  "state": "relaxed",
  "lattice": [[0.000, 3.028, 3.028], [3.028, 0.000, 3.028], [3.028, 3.028, 0.000]],
  "species": ["Be", "Pd", "Pd", "Ga"],
  "fractional_positions": [[0.250, 0.250, 0.250], [0.750, 0.750, 0.750], [0.000, 0.000, 0.000], [0.500, 0.500, 0.500]]
}

[3]
{
  "formula": "BeGaPd",
  "functional": "GGA-PBE",
  "state": "relaxed",
  "lattice": [[-2.544, -1.607, 2.695], [-2.681, 2.351, 1.899], [-3.933, -0.311, -0.870]],
  "species": ["Be", "Ga", "Pd"],
  "fractional_positions": [[0.250, 0.250, 0.250], [0.750, 0.750, 0.750], [0.000, 0.000, 0.000]]
}

[4]
{
  "formula": "BeGaPd",
  "functional": "GGA-PBE",
  "state": "relaxed",
  "lattice": [[0.000, 2.844, 2.844], [2.844, 0.000, 2.844], [2.844, 2.844, 0.000]],
  "species": ["Be", "Ga", "Pd"],
  "fractional_positions": [[0.250, 0.250, 0.250], [0.000, 0.000, 0.000], [0.750, 0.750, 0.750]]
}

[5]
{
  "formula": "BeTlGaPd",
  "functional": "GGA-PBE",
  "state": "relaxed",
  "lattice": [[-1.757, -2.692, -3.273], [-4.430, 0.362, -1.135], [-1.191, 1.793, -4.050]],
  "species": ["Tl", "Pd", "Ga", "Be"],
  "fractional_positions": [[0.500, 0.500, 0.500], [0.000, 0.000, 0.000], [0.250, 0.250, 0.250], [0.750, 0.750, 0.750]]
}

[6]
{
  "formula": "BeTlGaPd",
  "functional": "GGA-PBE",
  "state": "relaxed",
  "lattice": [[-1.136, 2.487, 3.706], [0.230, 4.598, -0.153], [-3.868, 2.501, -0.002]],
  "species": ["Tl", "Be", "Pd", "Ga"],
  "fractional_positions": [[0.500, 0.500, 0.500], [0.750, 0.750, 0.750], [0.250, 0.250, 0.250], [0.000, 0.000, 0.000]]
}

[7]
{
  "formula": "YBeGaPd",
  "functional": "GGA-PBE",
  "state": "relaxed",
  "total_magnetization_mub_per_fu": 0.0,
  "lattice": [[0.041, -0.391, 4.595], [-3.213, 2.137, 2.525], [-3.267, -2.457, 2.134]],
  "species": ["Y", "Pd", "Ga", "Be"],
  "fractional_positions": [[0.250, 0.250, 0.250], [0.500, 0.500, 0.500], [0.000, 0.000, 0.000], [0.750, 0.750, 0.750]]
}

[8]
{
  "formula": "YBeGaPd",
  "functional": "GGA-PBE",
  "state": "relaxed",
  "total_magnetization_mub_per_fu": 0.0,
  "lattice": [[0.000, 3.212, 3.212], [3.212, 0.000, 3.212], [3.212, 3.212, 0.000]],
  "species": ["Ga", "Be", "Y", "Pd"],
  "fractional_positions": [[0.250, 0.250, 0.250], [0.750, 0.750, 0.750], [0.000, 0.000, 0.000], [0.500, 0.500, 0.500]]
}

[9]
{
  "formula": "YBeGaPd",
  "functional": "GGA-PBE",
  "state": "relaxed",
  "total_magnetization_mub_per_fu": 0.0,
  "lattice": [[3.830, 2.367, 0.822], [0.034, 3.252, 3.221], [2.308, -0.663, 3.896]],
  "species": ["Ga", "Pd", "Y", "Be"],
  "fractional_positions": [[0.500, 0.500, 0.500], [0.250, 0.250, 0.250], [0.000, 0.000, 0.000], [0.750, 0.750, 0.750]]
}

[10]
{
  "formula": "PmBeGa",
  "functional": "GGA-PBE",
  "state": "relaxed",
  "total_magnetization_mub_per_fu": 0.0,
  "lattice": [[3.437, -3.051, 0.898], [0.020, -4.188, -2.095], [3.196, -0.959, -3.285]],
  "species": ["Ga", "Be", "Pm"],
  "fractional_positions": [[0.750, 0.750, 0.750], [0.250, 0.250, 0.250], [0.000, 0.000, 0.000]]
}

[11]
{
  "formula": "PmBeGa",
  "functional": "GGA-PBE",
  "state": "relaxed",
  "total_magnetization_mub_per_fu": 0.0,
  "lattice": [[-1.231, -0.610, 4.188], [-3.550, 2.082, 1.579], [-3.665, -2.274, 0.911]],
  "species": ["Pm", "Be", "Ga"],
  "fractional_positions": [[0.750, 0.750, 0.750], [0.000, 0.000, 0.000], [0.250, 0.250, 0.250]]
}

[12]
{
  "formula": "BeGaPt2",
  "functional": "GGA-PBE",
  "state": "relaxed",
  "total_magnetization_mub_per_fu": 0.0,
  "lattice": [[0.000, 3.056, 3.056], [3.056, 0.000, 3.056], [3.056, 3.056, 0.000]],
  "species": ["Pt", "Pt", "Ga", "Be"],
  "fractional_positions": [[0.000, 0.000, 0.000], [0.750, 0.750, 0.750], [0.500, 0.500, 0.500], [0.250, 0.250, 0.250]]
}

[13]
{
  "formula": "BeGaPt",
  "functional": "GGA-PBE",
  "state": "relaxed",
  "total_magnetization_mub_per_fu": 0.0,
  "lattice": [[0.000, 2.845, 2.845], [2.845, 0.000, 2.845], [2.845, 2.845, 0.000]],
  "species": ["Ga", "Pt", "Be"],
  "fractional_positions": [[0.000, 0.000, 0.000], [0.750, 0.750, 0.750], [0.250, 0.250, 0.250]]
}

[14]
{
  "formula": "BeGaPt",
  "functional": "GGA-PBE",
  "state": "relaxed",
  "total_magnetization_mub_per_fu": 0.0,
  "lattice": [[-1.288, -3.195, -2.127], [-0.743, -3.512, 1.872], [-3.809, -1.306, 0.415]],
  "species": ["Pt", "Ga", "Be"],
  "fractional_positions": [[0.000, 0.000, 0.000], [0.750, 0.750, 0.750], [0.250, 0.250, 0.250]]
}

[15]
{
  "formula": "BeGa5Pt",
  "functional": "GGA-PBE",
  "state": "relaxed",
  "total_magnetization_mub_per_fu": 0.0,
  "lattice": [[-3.680, 1.401, -1.436], [0.141, -2.813, -3.104], [-3.218, -4.459, 3.894]],
  "species": ["Ga", "Be", "Ga", "Pt", "Ga", "Ga", "Ga"],
  "fractional_positions": [[0.000, 0.500, 0.730], [0.000, 0.000, 0.000], [0.500, 0.000, 0.730], [0.000, 0.000, 0.500], [0.000, 0.500, 0.270], [0.500, 0.000, 0.270], [0.500, 0.500, 0.000]]
}

[16]
{
  "formula": "ScBeGaPt",
  "functional": "GGA-PBE",
  "state": "relaxed",
  "total_magnetization_mub_per_fu": 0.0,
  "lattice": [[0.000, 3.075, 3.075], [3.075, 0.000, 3.075], [3.075, 3.075, 0.000]],
  "species": ["Sc", "Ga", "Pt", "Be"],
  "fractional_positions": [[0.000, 0.000, 0.000], [0.250, 0.250, 0.250], [0.500, 0.500, 0.500], [0.750, 0.750, 0.750]]
}

[17]
{
  "formula": "ScBeGaPt",
  "functional": "GGA-PBE",
  "state": "relaxed",
  "total_magnetization_mub_per_fu": 0.0,
  "lattice": [[-3.675, -2.351, 0.651], [-1.262, -1.030, 4.099], [-3.563, 1.917, 1.758]],
  "species": ["Sc", "Ga", "Be", "Pt"],
  "fractional_positions": [[0.250, 0.250, 0.250], [0.000, 0.000, 0.000], [0.750, 0.750, 0.750], [0.500, 0.500, 0.500]]
}

[18]
{
  "formula": "ScBeGaPt",
  "functional": "GGA-PBE",
  "state": "relaxed",
  "total_magnetization_mub_per_fu": 0.0,
  "lattice": [[0.000, 3.110, 3.110], [3.110, 0.000, 3.110], [3.110, 3.110, 0.000]],
  "species": ["Be", "Pt", "Sc", "Ga"],
  "fractional_positions": [[0.750, 0.750, 0.750], [0.250, 0.250, 0.250], [0.000, 0.000, 0.000], [0.500, 0.500, 0.500]]
}

[19]
{
  "formula": "BeTlGaPt",
  "functional": "GGA-PBE",
  "state": "relaxed",
  "total_magnetization_mub_per_fu": 0.0,
  "lattice": [[0.000, 3.237, 3.237], [3.237, 0.000, 3.237], [3.237, 3.237, 0.000]],
  "species": ["Ga", "Tl", "Pt", "Be"],
  "fractional_positions": [[0.250, 0.250, 0.250], [0.000, 0.000, 0.000], [0.500, 0.500, 0.500], [0.750, 0.750, 0.750]]
}

[20]
{
  "formula": "BeTlGaPt",
  "functional": "GGA-PBE",
  "state": "relaxed",
  "total_magnetization_mub_per_fu": 0.0,
  "lattice": [[0.000, 3.277, 3.277], [3.277, 0.000, 3.277], [3.277, 3.277, 0.000]],
  "species": ["Pt", "Ga", "Be", "Tl"],
  "fractional_positions": [[0.500, 0.500, 0.500], [0.000, 0.000, 0.000], [0.750, 0.750, 0.750], [0.250, 0.250, 0.250]]
}

[21]
{
  "formula": "Be2GaRe",
  "functional": "GGA-PBE",
  "state": "relaxed",
  "total_magnetization_mub_per_fu": 0.0,
  "lattice": [[-3.755, -1.351, -0.879], [-3.196, 1.268, 2.207], [-2.748, 2.533, -1.652]],
  "species": ["Re", "Ga", "Be", "Be"],
  "fractional_positions": [[0.250, 0.250, 0.250], [0.500, 0.500, 0.500], [0.000, 0.000, 0.000], [0.750, 0.750, 0.750]]
}

[22]
{
  "formula": "BeGaRe2",
  "functional": "GGA-PBE",
  "state": "relaxed",
  "total_magnetization_mub_per_fu": 0.0,
  "lattice": [[0.000, 2.995, 2.995], [2.995, 0.000, 2.995], [2.995, 2.995, 0.000]],
  "species": ["Ga", "Be", "Re", "Re"],
  "fractional_positions": [[0.500, 0.500, 0.500], [0.250, 0.250, 0.250], [0.750, 0.750, 0.750], [0.000, 0.000, 0.000]]
}

[23]
{
  "formula": "BeGaReW",
  "functional": "GGA-PBE",
  "state": "relaxed",
  "total_magnetization_mub_per_fu": 0.0,
  "lattice": [[0.000, 3.025, 3.025], [3.025, 0.000, 3.025], [3.025, 3.025, 0.000]],
  "species": ["W", "Re", "Ga", "Be"],
  "fractional_positions": [[0.000, 0.000, 0.000], [0.250, 0.250, 0.250], [0.500, 0.500, 0.500], [0.750, 0.750, 0.750]]
}

[24]
{
  "formula": "BeGaReW",
  "functional": "GGA-PBE",
  "state": "relaxed",
  "total_magnetization_mub_per_fu": 0.1,
  "lattice": [[1.872, -2.360, 2.974], [1.662, 1.843, 3.429], [-1.846, -0.501, 3.777]],
  "species": ["Re", "Be", "W", "Ga"],
  "fractional_positions": [[0.500, 0.500, 0.500], [0.750, 0.750, 0.750], [0.000, 0.000, 0.000], [0.250, 0.250, 0.250]]
}

[25]
{
  "formula": "Ta4BeGa",
  "functional": "GGA-PBE",
  "state": "relaxed",
  "total_magnetization_mub_per_fu": 0.0,
  "lattice": [[3.918, -2.986, 1.095], [0.687, 4.868, -1.138], [-2.692, 0.106, 4.267]],
  "species": ["Ta", "Ta", "Be", "Ga", "Ta", "Ta"],
  "fractional_positions": [[0.908, 0.408, 0.817], [0.592, 0.092, 0.183], [0.000, 0.000, 0.000], [0.500, 0.500, 0.000], [0.408, 0.592, 0.500], [0.092, 0.908, 0.500]]
}

[26]
{
  "formula": "Ta4BeGa",
  "functional": "GGA-PBE",
  "state": "relaxed",
  "total_magnetization_mub_per_fu": 0.0,
  "lattice": [[-1.748, -4.310, -4.046], [-3.670, -2.517, 4.266], [-3.784, 2.954, -1.512]],
  "species": ["Be", "Ta", "Ta", "Ta", "Ta", "Ga", "Ta", "Ta", "Ta", "Be", "Ga", "Ta"],
  "fractional_positions": [[0.000, 0.000, 0.250], [0.857, 0.325, 0.500], [0.325, 0.857, 0.000], [0.143, 0.325, 0.000], [0.675, 0.143, 0.000], [0.500, 0.500, 0.250], [0.325, 0.143, 0.500], [0.857, 0.675, 0.000], [0.675, 0.857, 0.500], [0.000, 0.000, 0.750], [0.500, 0.500, 0.750], [0.143, 0.675, 0.500]]
}

[27]
{
  "formula": "Tb3BeGa",
  "functional": "GGA-PBE",
  "state": "relaxed",
  "total_magnetization_mub_per_fu": 0.1,
  "lattice": [[5.128, 0.000, 0.000], [0.000, 5.128, 0.000], [0.000, 0.000, 5.128]],
  "species": ["Tb", "Tb", "Ga", "Be", "Tb"],
  "fractional_positions": [[0.500, 0.000, 0.500], [0.500, 0.500, 0.000], [0.000, 0.000, 0.000], [0.500, 0.500, 0.500], [0.000, 0.500, 0.500]]
}

[28]
{
  "formula": "TbBeGa",
  "functional": "GGA-PBE",
  "state": "relaxed",
  "total_magnetization_mub_per_fu": 0.0,
  "lattice": [[3.636, -2.276, 1.155], [1.198, -0.255, 4.271], [-0.389, -3.845, 2.191]],
  "species": ["Ga", "Be", "Tb"],
  "fractional_positions": [[0.000, 0.000, 0.000], [0.250, 0.250, 0.250], [0.750, 0.750, 0.750]]
}

[29]
{
  "formula": "TbBeGa",
  "functional": "GGA-PBE",
  "state": "relaxed",
  "total_magnetization_mub_per_fu": 0.0,
  "lattice": [[-2.909, 0.187, 3.204], [-4.161, -0.901, -0.797], [-1.761, -3.644, 1.542]],
  "species": ["Ga", "Tb", "Be"],
  "fractional_positions": [[0.250, 0.250, 0.250], [0.750, 0.750, 0.750], [0.000, 0.000, 0.000]]
}

[30]
{
  "formula": "Be2GaTc",
  "functional": "GGA-PBE",
  "state": "relaxed",
  "total_magnetization_mub_per_fu": 0.0,
  "lattice": [[0.000, 2.869, 2.869], [2.869, 0.000, 2.869], [2.869, 2.869, 0.000]],
  "species": ["Ga", "Be", "Be", "Tc"],
  "fractional_positions": [[0.500, 0.500, 0.500], [0.000, 0.000, 0.000], [0.750, 0.750, 0.750], [0.250, 0.250, 0.250]]
}

Number 1: total DFT energy (no corrections) -0.1785 hartree per atom. Number 2: total DFT energy (no corrections) -0.1666 hartree per atom. Number 3: total DFT energy (no corrections) -0.1530 hartree per atom. Number 4: total DFT energy (no corrections) -0.1462 hartree per atom. Number 5: total DFT energy (no corrections) -0.1218 hartree per atom. Number 6: total DFT energy (no corrections) -0.1214 hartree per atom. Number 7: total DFT energy (no corrections) -0.1813 hartree per atom. Number 8: total DFT energy (no corrections) -0.1841 hartree per atom. Number 9: total DFT energy (no corrections) -0.1833 hartree per atom. Number 10: total DFT energy (no corrections) -0.1241 hartree per atom. Number 11: total DFT energy (no corrections) -0.1504 hartree per atom. Number 12: total DFT energy (no corrections) -0.1809 hartree per atom. Number 13: total DFT energy (no corrections) -0.1603 hartree per atom. Number 14: total DFT energy (no corrections) -0.1715 hartree per atom. Number 15: total DFT energy (no corrections) -0.1319 hartree per atom. Number 16: total DFT energy (no corrections) -0.1991 hartree per atom. Number 17: total DFT energy (no corrections) -0.1960 hartree per atom. Number 18: total DFT energy (no corrections) -0.1968 hartree per atom. Number 19: total DFT energy (no corrections) -0.1305 hartree per atom. Number 20: total DFT energy (no corrections) -0.1271 hartree per atom. Number 21: total DFT energy (no corrections) -0.1975 hartree per atom. Number 22: total DFT energy (no corrections) -0.2857 hartree per atom. Number 23: total DFT energy (no corrections) -0.2908 hartree per atom. Number 24: total DFT energy (no corrections) -0.2813 hartree per atom. Number 25: total DFT energy (no corrections) -0.3396 hartree per atom. Number 26: total DFT energy (no corrections) -0.3409 hartree per atom. Number 27: total DFT energy (no corrections) -0.1451 hartree per atom. Number 28: total DFT energy (no corrections) -0.1423 hartree per atom. Number 29: total DFT energy (no corrections) -0.1501 hartree per atom. Number 30: total DFT energy (no corrections) -0.1865 hartree per atom.